DFT (PBE) results for a relaxed structure of CaPb2W.

CIF file:
```
data_CaPb2W
_chemical_formula_sum 'Ca4 Pb8 W4'
_cell_length_a 4.995
_cell_length_b 4.995
_cell_length_c 19.450
_cell_angle_alpha 90.00
_cell_angle_beta 90.00
_cell_angle_gamma 90.00
_symmetry_space_group_name_H-M 'I -4 2 d'
_symmetry_Int_Tables_number 122
_symmetry_space_group_name_Hall 'I -4 2bw'
loop_
_atom_site_label
_atom_site_fract_x
_atom_site_fract_y
_atom_site_fract_z
Ca1 0.000 0.000 0.000
Pb1 0.179 0.250 0.625
W1 0.000 0.000 0.500
```

As for the energy above the most stable polymorph in this dataset: 0.486 eV/atom. The value obtained for the formation energy is 0.917 eV/atom. The calculation puts the density of states at the Fermi level at 9.27 states/eV/cell. Its crystal system is tetragonal.